The following is a PBE-GGA calculation of an optimized crystal structure of MoOsAu2, from Alexandria via LeMat-Bulk.

Cell lengths 3.871, 3.871, 4.355 Å; angles 90.00, 90.00, 90.00 degrees
Atoms (fractional coordinates):
Mo 0.000 0.000 0.000
Os 0.500 0.500 0.000
Au 0.000 0.500 0.500
Au 0.500 0.000 0.500

Energy relative to the lowest polymorph listed for this composition ... 0.3455 eV per atom
SG ... No. 123
Final energy ... -26.553 eV for the cell shown
Density of states at the Fermi level ... 3.8 states/eV per cell
Calculated formation energy ... 0.516 eV/atom

The following is a PBE-GGA calculation of an optimized crystal structure of ScCoBr3, from Alexandria via LeMat-Bulk.

Cell lengths 5.329, 5.329, 5.329 Å; angles 90.00, 90.00, 90.00 degrees
Atoms (fractional coordinates):
Sc 0.000 0.000 0.000
Co 0.500 0.500 0.500
Br 0.000 0.000 0.500
Br 0.000 0.500 0.000
Br 0.500 0.000 0.000

Energy relative to the lowest polymorph listed for this composition ... 0.0000 eV per atom
Formation energy (no corrections) ... -280 meV per atom
SG ... No. 221
Final energy ... -19.855 eV for the cell shown
Density of states at the Fermi level ... 15.2 states/eV per cell

The following is a PBE-GGA calculation of an optimized crystal structure of CaCeSm2N4, from Alexandria via LeMat-Bulk.

Cell lengths 6.130, 3.594, 6.156 Å; angles 90.00, 108.58, 90.00 degrees
Atoms (fractional coordinates):
Ca 0.000 0.000 0.000
Ce 0.500 0.500 0.000
Sm 0.000 0.500 0.500
Sm 0.500 0.000 0.500
N 0.257 0.000 0.751
N 0.269 0.500 0.248
N 0.731 0.500 0.752
N 0.743 0.000 0.249

Formation energy (no corrections) ... -1365 meV per atom
SG ... No. 10
Final energy ... -61.595 eV for the cell shown
Density of states at the Fermi level ... 0.0 states/eV per cell

The following is a PBE-GGA calculation of an optimized crystal structure of KAcAg2I6, from Alexandria via LeMat-Bulk.

Cell lengths 9.545, 9.545, 9.545 Å; angles 51.05, 51.05, 51.05 degrees
Atoms (fractional coordinates):
K 0.000 0.000 0.000
Ac 0.500 0.500 0.500
Ag 0.237 0.237 0.237
Ag 0.763 0.763 0.763
I 0.098 0.744 0.425
I 0.258 0.575 0.902
I 0.425 0.098 0.744
I 0.575 0.902 0.258
I 0.744 0.425 0.098
I 0.902 0.258 0.575

Formation energy (no corrections) ... -983 meV per atom
SG ... No. 146
Final energy ... -30.040 eV for the cell shown
Density of states at the Fermi level ... 0.0 states/eV per cell

The following is a PBE-GGA calculation of an optimized crystal structure of LaSmSe2O, from Alexandria via LeMat-Bulk.

Cell lengths 4.133, 4.133, 14.838 Å; angles 90.00, 90.00, 90.00 degrees
Atoms (fractional coordinates):
La 0.250 0.250 0.082
La 0.750 0.750 0.918
Sm 0.250 0.250 0.625
Sm 0.750 0.750 0.375
Se 0.250 0.250 0.410
Se 0.250 0.250 0.806
Se 0.750 0.750 0.194
Se 0.750 0.750 0.590
O 0.250 0.750 0.000
O 0.750 0.250 0.000

Formation energy (no corrections) ... -2458 meV per atom
SG ... No. 129
Final energy ... -67.725 eV for the cell shown
Density of states at the Fermi level ... 1.6 states/eV per cell

The following is a PBE-GGA calculation of an optimized crystal structure of YSi2Ir, from Alexandria via LeMat-Bulk.

Cell lengths 6.062, 6.062, 6.062 Å; angles 145.83, 143.53, 50.84 degrees
Atoms (fractional coordinates):
Y 0.000 0.000 0.000
Si 0.389 0.389 0.000
Si 0.738 0.238 0.500
Ir 0.242 0.742 0.500

Formation energy (no corrections) ... -477 meV per atom
SG ... No. 44
Final energy ... -28.080 eV for the cell shown
Density of states at the Fermi level ... 2.3 states/eV per cell

The following is a PBE-GGA calculation of an optimized crystal structure of LaSi2Au4, from Alexandria via LeMat-Bulk.

Cell lengths 7.223, 7.223, 4.464 Å; angles 90.00, 90.00, 144.22 degrees
Atoms (fractional coordinates):
La 0.000 0.000 0.000
Si 0.412 0.588 0.500
Si 0.588 0.412 0.500
Au 0.175 0.825 0.500
Au 0.326 0.674 0.000
Au 0.674 0.326 0.000
Au 0.825 0.175 0.500

Formation energy (no corrections) ... -505 meV per atom
SG ... No. 65
Final energy ... -32.417 eV for the cell shown
Density of states at the Fermi level ... 2.7 states/eV per cell

The following is a PBE-GGA calculation of an optimized crystal structure of Dy6YHoTh2, from Alexandria via LeMat-Bulk.

Cell lengths 8.616, 8.616, 10.049 Å; angles 96.18, 96.18, 117.71 degrees
Atoms (fractional coordinates):
Dy 0.023 0.574 0.178
Dy 0.114 0.739 0.551
Dy 0.261 0.886 0.949
Dy 0.306 0.507 0.382
Dy 0.426 0.977 0.322
Dy 0.493 0.694 0.118
Dy 0.507 0.306 0.882
Dy 0.574 0.023 0.678
Dy 0.694 0.493 0.618
Dy 0.739 0.114 0.051
Dy 0.886 0.261 0.449
Dy 0.977 0.426 0.822
Y 0.011 0.989 0.250
Y 0.989 0.011 0.750
Ho 0.403 0.597 0.750
Ho 0.597 0.403 0.250
Th 0.183 0.277 0.043
Th 0.277 0.183 0.543
Th 0.723 0.817 0.457
Th 0.817 0.723 0.957

SG ... No. 15
Final energy ... -104.017 eV for the cell shown
Density of states at the Fermi level ... 28.9 states/eV per cell
Calculated formation energy ... 0.149 eV/atom